1.
Entry from Alexandria: a relaxed TaMn2Zn crystal (PBE-GGA).

Total energy   -31.24 eV for the cell shown
Formation energy   56 meV/atom
Total magnetic moment   1.36 μB/f.u.

Cell: 5.038 5.038 5.038 Å, 145.69 130.59 61.53°
Each line ends with the local moment (μB).
Sites, in units of the cell vectors:
Zn: 0.236 0.736 0.500  -0.02
Mn: 0.767 0.267 0.500  1.63
Mn: 0.988 0.988 0.000  -0.09
Ta: 0.509 0.509 0.000  -0.12


2.
Entry from Alexandria: a relaxed HoAs2Au crystal (PBE-GGA).

Total energy   -19.62 eV for the cell shown
Formation energy   -617 meV/atom
Total magnetic moment   0.00 μB/f.u.

Cell: 3.860 4.561 4.561 Å, 90.00 90.00 90.00°
Sites, in units of the cell vectors:
As: 0.000 0.000 0.500
As: 0.000 0.500 0.000
Au: 0.500 0.000 0.000
Ho: 0.500 0.500 0.500


3.
Entry from Alexandria: a relaxed Ac2TmAsO8 crystal (PBE-GGA).

Total energy   -82.70 eV for the cell shown
Total magnetic moment   2.01 μB/f.u.

Cell: 5.678 5.678 6.088 Å, 90.00 90.00 120.00°
Each line ends with the local moment (μB).
Sites, in units of the cell vectors:
O: 0.699 0.850 0.185  0.05
O: 0.667 0.333 0.490  0.64
O: 0.150 0.301 0.185  0.05
O: 0.850 0.699 0.815  0.05
O: 0.150 0.850 0.185  0.05
O: 0.333 0.667 0.510  0.64
O: 0.301 0.150 0.815  0.05
O: 0.850 0.150 0.815  0.05
Ac: 0.667 0.333 0.139  0.13
Ac: 0.333 0.667 0.861  0.13
Tm: 0.000 0.000 0.500  0.00
As: 0.000 0.000 0.000  0.01